Record 1
DFT (GGA-PBE) results for crystalline LaBiRuO6 at its relaxed geometry.

Symmetry: P-31c (163)
Calculated volume (A^3/atom): 14.67
Energy (eV/cell): -124.27

abc: 5.769 5.769 9.164
angles: 90.00 90.00 120.00
Last column: magnetic moment on the atom in μB.
Fractional coordinates of all 18 atoms:
1 Ru 0.333 0.667 0.750  1.25
2 Ru 0.667 0.333 0.250  1.25
3 O 0.056 0.675 0.869  0.09
4 O 0.619 0.944 0.869  0.09
5 O 0.944 0.325 0.131  0.09
6 O 0.619 0.675 0.631  0.09
7 O 0.944 0.619 0.369  0.09
8 O 0.675 0.619 0.131  0.09
9 O 0.381 0.325 0.369  0.09
10 O 0.675 0.056 0.369  0.09
11 O 0.325 0.944 0.631  0.09
12 O 0.325 0.381 0.869  0.09
13 O 0.381 0.056 0.131  0.09
14 O 0.056 0.381 0.631  0.09
15 La 0.333 0.667 0.250  0.02
16 La 0.667 0.333 0.750  0.02
17 Bi 0.000 0.000 0.500  0.03
18 Bi 0.000 0.000 0.000  0.03

Record 2
DFT (GGA-PBE) results for crystalline Mg2RuSe at its relaxed geometry.

Symmetry: R-3m (166)
Calculated volume (A^3/atom): 18.07
Energy (eV/cell): -16.28

abc: 8.137 8.137 8.137
angles: 23.02 23.02 23.02
Fractional coordinates of all 4 atoms:
1 Se 0.750 0.750 0.750
2 Ru 0.250 0.250 0.250
3 Mg 0.501 0.501 0.501
4 Mg 0.999 0.999 0.999

Record 3
DFT (GGA-PBE) results for crystalline CuAg3Br6 at its relaxed geometry.

Symmetry: R-3 (148)
Calculated volume (A^3/atom): 26.70
Offset from the most stable computed form (eV/f.u.): 0.29
Energy (eV/cell): -50.24

abc: 8.128 8.128 8.128
angles: 93.43 93.43 93.43
Fractional coordinates of all 20 atoms:
1 Br 0.105 0.296 0.928
2 Br 0.928 0.105 0.296
3 Br 0.557 0.390 0.204
4 Br 0.796 0.443 0.610
5 Br 0.443 0.610 0.796
6 Br 0.610 0.796 0.443
7 Br 0.072 0.895 0.704
8 Br 0.204 0.557 0.390
9 Br 0.390 0.204 0.557
10 Br 0.704 0.072 0.895
11 Br 0.895 0.704 0.072
12 Br 0.296 0.928 0.105
13 Cu 0.000 0.000 0.000
14 Cu 0.500 0.500 0.500
15 Ag 0.063 0.260 0.589
16 Ag 0.411 0.937 0.740
17 Ag 0.937 0.740 0.411
18 Ag 0.589 0.063 0.260
19 Ag 0.740 0.411 0.937
20 Ag 0.260 0.589 0.063

Record 4
DFT (GGA-PBE) results for crystalline Sm5P4S at its relaxed geometry.

Symmetry: I4/m (87)
Calculated volume (A^3/atom): 24.20
Offset from the most stable computed form (eV/f.u.): 0.00
Energy (eV/cell): -66.53

abc: 5.783 7.086 7.086
angles: 80.41 65.92 65.92
Fractional coordinates of all 10 atoms:
1 P 0.401 0.399 0.801
2 P 0.800 0.801 0.601
3 P 0.202 0.199 0.399
4 P 0.601 0.601 0.199
5 Sm 0.103 0.595 0.202
6 Sm 0.899 0.405 0.798
7 Sm 0.501 0.000 0.000
8 Sm 0.698 0.202 0.405
9 Sm 0.304 0.798 0.595
10 S 0.001 0.000 0.000

Record 5
DFT (GGA-PBE) results for crystalline NdMgSi2Au5 at its relaxed geometry.

Symmetry: P4/mmm (123)
Calculated volume (A^3/atom): 22.08
Energy (eV/cell): -36.35

abc: 4.561 4.561 9.551
angles: 90.00 90.00 90.00
Fractional coordinates of all 9 atoms:
1 Si 0.500 0.500 0.746
2 Si 0.500 0.500 0.254
3 Nd 0.000 0.000 0.500
4 Au 0.500 0.000 0.168
5 Au 0.500 0.500 0.500
6 Au 0.000 0.500 0.168
7 Au 0.500 0.000 0.832
8 Au 0.000 0.500 0.832
9 Mg 0.000 0.000 0.000

Record 6
DFT (GGA-PBE) results for crystalline PaHS2 at its relaxed geometry.

Symmetry: Imm2 (44)
Calculated volume (A^3/atom): 16.65
Offset from the most stable computed form (eV/f.u.): 0.76
Energy (eV/cell): -25.43

abc: 4.937 4.707 3.834
angles: 114.05 90.00 121.63
Fractional coordinates of all 4 atoms:
1 H 0.877 0.925 0.052
2 S 0.355 0.347 0.763
3 S 0.933 0.503 0.341
4 Pa 0.671 0.925 0.552

Record 7
DFT (GGA-PBE) results for crystalline CaMn2Se at its relaxed geometry.

Symmetry: P2/m (10)
Calculated volume (A^3/atom): 18.65
Energy (eV/cell): -22.95

abc: 4.605 4.651 3.494
angles: 85.28 90.00 90.00
Fractional coordinates of all 4 atoms:
1 Ca 0.500 0.750 0.750
2 Mn 0.000 0.124 0.017
3 Mn 0.000 0.376 0.483
4 Se 0.500 0.250 0.250

Record 8
DFT (GGA-PBE) results for crystalline TaTeW2 at its relaxed geometry.

Symmetry: R-3m (166)
Calculated volume (A^3/atom): 18.67
Energy (eV/cell): -38.55

abc: 8.729 8.729 8.729
angles: 20.98 20.98 20.98
Fractional coordinates of all 4 atoms:
1 Te 0.750 0.750 0.750
2 W 0.503 0.503 0.503
3 W 0.997 0.997 0.997
4 Ta 0.250 0.250 0.250

Record 9
DFT (GGA-PBE) results for crystalline BaZnHg2 at its relaxed geometry.

Symmetry: P4/mmm (123)
Calculated volume (A^3/atom): 28.88
DFT formation energy (eV per formula unit): -0.84
Energy (eV/cell): -4.64

abc: 3.969 3.967 7.338
angles: 90.00 90.00 90.00
Fractional coordinates of all 4 atoms:
1 Ba 0.500 0.500 0.750
2 Hg 0.000 0.000 0.455
3 Hg 0.000 0.000 0.045
4 Zn 0.500 0.500 0.250

Record 10
DFT (GGA-PBE) results for crystalline Ce2TlPd at its relaxed geometry.

Symmetry: P4/mmm (123)
Calculated volume (A^3/atom): 24.07
DFT formation energy (eV per formula unit): -1.45
Energy (eV/cell): -20.87

abc: 4.581 4.585 4.585
angles: 90.00 90.00 90.00
Last column: magnetic moment on the atom in μB.
Fractional coordinates of all 4 atoms:
1 Ce 0.000 0.000 0.500  0.50
2 Ce 0.000 0.500 0.000  0.50
3 Pd 0.500 0.500 0.500  0.00
4 Tl 0.500 0.000 0.000  -0.01

Record 11
DFT (GGA-PBE) results for crystalline La4TbHo2Sc at its relaxed geometry.

Symmetry: Pmmm (47)
Calculated volume (A^3/atom): 33.42
DFT formation energy (eV per formula unit): 0.62
Energy (eV/cell): -39.20

abc: 5.855 5.866 9.745
angles: 53.02 90.01 90.01
Fractional coordinates of all 8 atoms:
1 Tb 0.500 0.500 0.000
2 Ho 0.000 0.000 0.000
3 Ho 0.500 0.000 0.500
4 La 0.500 0.261 0.739
5 La 0.000 0.760 0.740
6 La 0.000 0.240 0.260
7 La 0.500 0.739 0.261
8 Sc 0.000 0.500 0.500

Record 12
DFT (GGA-PBE) results for crystalline Ga2BrCl at its relaxed geometry.

Symmetry: I-42d (122)
Calculated volume (A^3/atom): 40.70
Offset from the most stable computed form (eV/f.u.): 0.22
Energy (eV/cell): -23.35

abc: 6.995 6.995 8.291
angles: 65.05 65.05 90.00
Fractional coordinates of all 8 atoms:
1 Ga 0.875 0.859 0.750
2 Ga 0.141 0.625 0.250
3 Ga 0.609 0.125 0.250
4 Ga 0.375 0.391 0.750
5 Cl 0.250 0.750 0.500
6 Cl 0.500 0.500 0.000
7 Br 0.000 0.000 0.000
8 Br 0.750 0.250 0.500

Record 13
DFT (GGA-PBE) results for crystalline BaIrCl at its relaxed geometry.

Symmetry: Cmcm (63)
Calculated volume (A^3/atom): 28.77
Offset from the most stable computed form (eV/f.u.): 0.47
Energy (eV/cell): -31.45

abc: 4.396 4.508 10.015
angles: 103.00 63.96 90.00
Fractional coordinates of all 6 atoms:
1 Cl 0.753 0.066 0.526
2 Cl 0.495 0.445 0.285
3 Ba 0.137 0.874 0.142
4 Ba 0.111 0.637 0.669
5 Ir 0.426 0.230 0.853
6 Ir 0.822 0.282 0.958